Entry from the Open Quantum Materials Database: crystalline Na3ZnB5O10 at its relaxed geometry (PBE).

Lattice parameters (Å, degrees): 6.516 18.004 7.892 90.00 114.74 90.00
Atoms (fractional coordinates):
B1 0.452 0.804 0.003
B2 0.827 0.570 0.034
B3 0.184 0.076 0.160
B4 0.794 0.298 0.168
B5 0.936 0.166 0.229
B6 0.064 0.666 0.271
B7 0.206 0.798 0.332
B8 0.816 0.576 0.340
B9 0.173 0.070 0.466
B10 0.548 0.304 0.497
B11 0.452 0.696 0.503
B12 0.827 0.930 0.534
B13 0.184 0.424 0.660
B14 0.794 0.202 0.668
B15 0.936 0.334 0.729
B16 0.064 0.834 0.771
B17 0.206 0.702 0.832
B18 0.816 0.924 0.840
B19 0.173 0.430 0.966
B20 0.548 0.196 0.997
Na1 0.206 0.258 0.078
Na2 0.342 0.582 0.114
Na3 0.374 0.930 0.160
Na4 0.626 0.430 0.340
Na5 0.658 0.082 0.386
Na6 0.794 0.758 0.422
Na7 0.206 0.242 0.578
Na8 0.342 0.918 0.614
Na9 0.374 0.570 0.660
Na10 0.626 0.070 0.840
Na11 0.658 0.418 0.886
Na12 0.794 0.742 0.922
O1 0.583 0.273 0.034
O2 0.247 0.043 0.038
O3 0.977 0.629 0.087
O4 0.064 0.142 0.123
O5 0.696 0.145 0.123
O6 0.241 0.463 0.133
O7 0.628 0.826 0.156
O8 0.740 0.545 0.160
O9 0.826 0.372 0.194
O10 0.040 0.746 0.241
O11 0.960 0.246 0.259
O12 0.174 0.872 0.306
O13 0.260 0.045 0.340
O14 0.372 0.326 0.344
O15 0.759 0.963 0.367
O16 0.304 0.645 0.377
O17 0.936 0.642 0.377
O18 0.023 0.129 0.413
O19 0.753 0.543 0.462
O20 0.417 0.773 0.466
O21 0.583 0.227 0.534
O22 0.247 0.457 0.538
O23 0.977 0.871 0.587
O24 0.064 0.358 0.623
O25 0.696 0.355 0.623
O26 0.241 0.037 0.633
O27 0.628 0.674 0.656
O28 0.740 0.955 0.660
O29 0.826 0.128 0.694
O30 0.040 0.754 0.741
O31 0.960 0.254 0.759
O32 0.174 0.628 0.806
O33 0.260 0.455 0.840
O34 0.372 0.174 0.844
O35 0.759 0.537 0.867
O36 0.304 0.855 0.877
O37 0.936 0.858 0.877
O38 0.023 0.371 0.913
O39 0.753 0.957 0.962
O40 0.417 0.727 0.966
Zn1 0.858 0.906 0.199
Zn2 0.142 0.406 0.301
Zn3 0.858 0.594 0.699
Zn4 0.142 0.094 0.801

space group	P2_1/c, No. 14


Entry from the Open Quantum Materials Database: crystalline RbZrCuS3 at its relaxed geometry (PBE).

Lattice parameters (Å, degrees): 8.447 3.800 9.694 90.00 113.49 90.00
Atoms (fractional coordinates):
Cu1 0.584 0.250 0.101
Cu2 0.416 0.750 0.899
Rb1 0.252 0.750 0.222
Rb2 0.748 0.250 0.778
S1 0.724 0.750 0.056
S2 0.609 0.250 0.348
S3 0.037 0.250 0.364
S4 0.963 0.750 0.636
S5 0.391 0.750 0.652
S6 0.276 0.250 0.944
Zr1 0.811 0.750 0.337
Zr2 0.189 0.250 0.663

space group	P2_1/m, No. 11


| no. | E_tot (eV per cell) |
| --- | --- |
| 1 | -523.55 |
| 2 | -66.23 |